! BaCr2NiO8 | Alexandria via LeMat-Bulk | GGA+U | optimized geometry; values from VASP
&SYSTEM
  ibrav = 0, nat = 12, ntyp = 4
/
ATOMIC_SPECIES
Ba 137.33 Ba.upf
Cr 52.00 Cr.upf
Ni 58.69 Ni.upf
O 16.00 O.upf
ATOMIC_POSITIONS angstrom
Ba 0.0000 0.0000 0.0000
Cr 0.0000 0.0000 5.4132
Cr 0.0000 0.0000 16.8988
Ni 0.0000 0.0000 11.1560
O -0.9504 -1.3778 9.9372
O -1.6684 0.1342 12.3748
O 0.0000 0.0000 7.0828
O -0.7180 1.5120 9.9372
O 0.7180 -1.5120 12.3748
O 0.0000 0.0000 15.2291
O 1.6684 -0.1342 9.9372
O 0.9504 1.3778 12.3748
CELL_PARAMETERS angstrom
2.5442 1.4689 7.4373
-2.5442 1.4689 7.4373
0.0000 -2.9378 7.4373
! * DOS(E_F): 0.000 states/eV per cell
! * space group: R-3
! * calculated volume: 13.90 Å³/atom
! * final energy: -6.4919 eV per atom
! * density: 4262 kg/m3